[1]
Below is PmDy9Sc2 after structural relaxation, with properties calculated at the PBE-GGA level.

V = 30.66 A^3/atom
energy above the lowest structure with this stoichiometry = 0 meV/atom
calculated formation energy = 0.0351 eV per atom
DOS(E_F) = 1.306 states/eV/atom
magnetization = 0.000 μB per atom

Lattice parameters (Å, degrees): 3.4723 11.0617 11.0617 120.00 90.00 90.00
Last column: nearest neighbours and their distance in Å.
Fractional positions:
Pm  0.0000  0.0000  0.0000  2 Pm 3.47, 12 Dy 3.86
Dy  0.0000  0.0000  0.5000  2 Sc 3.19, 10 Dy 3.47-3.53
Dy  0.5000  0.6397  0.8199  2 Sc 3.41, 8 Dy 3.45-3.53
Dy  0.0000  0.5000  0.0000  2 Sc 3.19, 10 Dy 3.47-3.53
Dy  0.5000  0.8199  0.6397  2 Sc 3.41, 8 Dy 3.45-3.53
Dy  0.5000  0.3603  0.1801  2 Sc 3.41, 8 Dy 3.45-3.53
Dy  0.5000  0.1801  0.3603  2 Sc 3.41, 8 Dy 3.45-3.53
Dy  0.5000  0.1801  0.8199  2 Sc 3.41, 8 Dy 3.45-3.53
Dy  0.0000  0.5000  0.5000  2 Sc 3.19, 10 Dy 3.47-3.53
Dy  0.5000  0.8199  0.1801  2 Sc 3.41, 8 Dy 3.45-3.53
Sc  0.0000  0.6667  0.3333  9 Dy 3.19-3.41, 2 Sc 3.47
Sc  0.0000  0.3333  0.6667  9 Dy 3.19-3.41, 2 Sc 3.47

---

[2]
Below is AcInPdO6 after structural relaxation, with properties calculated at the PBE-GGA level.

V = 15.35 A^3/atom
ΔE_f (raw) = -1.34 eV per atom
DOS(E_F) = 0.805 states/eV/atom
magnetization = 0.230 μB per atom

Lattice parameters (Å, degrees): 5.5048 5.5048 5.2660 90.00 90.00 60.00
Last column: nearest neighbours and their distance in Å.
Fractional positions:
Pd  0.3333  0.3334  0.5000  6 O 1.99
O  0.3539  0.6207  0.2848  1 Pd 1.99, 1 In 2.18
O  0.6207  0.0254  0.2848  1 Pd 1.99, 1 In 2.18
O  0.3538  0.0254  0.7152  1 Pd 1.99, 1 In 2.18
O  0.0254  0.3539  0.2848  1 Pd 1.99, 1 In 2.18
O  0.6206  0.3539  0.7152  1 Pd 1.99, 1 In 2.18
O  0.0254  0.6207  0.7152  1 Pd 1.99, 1 In 2.18
Ac  0.0000  0.0000  0.0000  6 O 2.52
In  0.6666  0.6667  0.5000  6 O 2.18

---

[3]
Below is SrPdI3 after structural relaxation, with properties calculated at the PBE-GGA level.

V = 34.95 A^3/atom
energy above the lowest structure with this stoichiometry = 0 meV/atom
ΔE_f (raw) = -0.79 eV per atom
DOS(E_F) = 0.227 states/eV/atom
magnetization = 0.000 μB per atom

Lattice parameters (Å, degrees): 5.5908 5.5908 5.5908 90.00 90.00 90.00
Last column: nearest neighbours and their distance in Å.
Fractional positions:
Sr  0.5000  0.5000  0.5000  12 I 3.95
I  0.0000  0.0000  0.5000  2 Pd 2.80
I  0.5000  0.0000  0.0000  2 Pd 2.80
I  0.0000  0.5000  0.0000  2 Pd 2.80
Pd  0.0000  0.0000  0.0000  6 I 2.80

---

[4]
Below is Ni2SbP after structural relaxation, with properties calculated at the PBE-GGA level.

V = 15.07 A^3/atom
energy above the lowest structure with this stoichiometry = 218 meV/atom
ΔE_f (raw) = -0.09 eV per atom
DOS(E_F) = 0.569 states/eV/atom
magnetization = 0.000 μB per atom

Lattice parameters (Å, degrees): 3.2603 3.2603 5.6714 90.00 90.00 90.00
Last column: nearest neighbours and their distance in Å.
Fractional positions:
P  0.0000  0.0000  0.3979  5 Ni 2.17-2.38
Ni  0.0000  0.0000  0.0160  1 P 2.17
Ni  0.5000  0.5000  0.2966  4 P 2.38
Sb  0.5000  0.5000  0.7896  6 Ni 2.64-2.88

---

[5]
Below is TbTl2Sb after structural relaxation, with properties calculated at the PBE-GGA level.

V = 27.78 A^3/atom
energy above the lowest structure with this stoichiometry = 0 meV/atom
ΔE_f (raw) = -0.36 eV per atom
DOS(E_F) = 0.491 states/eV/atom
magnetization = 0.000 μB per atom

Lattice parameters (Å, degrees): 5.1823 4.6306 4.6306 90.00 90.00 90.00
Last column: nearest neighbours and their distance in Å.
Fractional positions:
Tl  0.0000  0.5000  0.0000  4 Tl 3.27, 4 Sb 3.47, 4 Tb 3.47
Tl  0.0000  0.0000  0.5000  4 Tl 3.27, 4 Sb 3.47, 4 Tb 3.47
Sb  0.5000  0.5000  0.5000  4 Tb 3.27, 8 Tl 3.47
Tb  0.5000  0.0000  0.0000  4 Sb 3.27, 8 Tl 3.47

---

[6]
Below is Mg2TlFe after structural relaxation, with properties calculated at the PBE-GGA level.

V = 19.04 A^3/atom
energy above the lowest structure with this stoichiometry = 48 meV/atom
calculated formation energy = 0.2312 eV per atom
DOS(E_F) = 0.482 states/eV/atom
magnetization = 0.639 μB per atom

Lattice parameters (Å, degrees): 4.2438 4.2359 4.2359 90.00 90.00 90.00
Last column: nearest neighbours and their distance in Å.
Fractional positions:
Tl  0.5000  0.5000  0.0000  4 Fe 3.00, 8 Mg 3.00
Fe  0.5000  0.0000  0.5000  4 Tl 3.00, 8 Mg 3.00
Mg  0.0000  0.5000  0.5000  4 Mg 3.00, 4 Tl 3.00, 4 Fe 3.00
Mg  0.0000  0.0000  0.0000  4 Mg 3.00, 4 Tl 3.00, 4 Fe 3.00

---

[7]
Below is CaCoH3 after structural relaxation, with properties calculated at the PBE-GGA level.

V = 9.45 A^3/atom
VASP energy = -3.96 eV/atom
DOS(E_F) = 0.328 states/eV/atom
magnetization = 0.087 μB per atom

Lattice parameters (Å, degrees): 14.5166 6.1151 6.1151 151.95 154.32 25.68
Last column: nearest neighbours and their distance in Å.
Fractional positions:
H  0.5153  0.2878  0.7122  3 Co 1.67-1.77, 1 H 1.75
H  0.9135  0.7838  0.2162  1 Co 1.60
H  0.0865  0.2162  0.7838  1 Co 1.60
H  0.2259  0.6850  0.3150  2 Co 1.72, 1 H 1.75
H  0.4847  0.7122  0.2878  3 Co 1.67-1.77, 1 H 1.75
H  0.7741  0.3150  0.6850  2 Co 1.72, 1 H 1.75
Ca  0.1841  0.9196  0.0804  6 H 2.18-2.36
Ca  0.8159  0.0804  0.9196  6 H 2.18-2.36
Co  0.3373  0.0039  0.9961  6 H 1.60-1.77
Co  0.6627  0.9961  0.0039  6 H 1.60-1.77

---

[8]
Below is NaCu2RuCl after structural relaxation, with properties calculated at the PBE-GGA level.

V = 21.63 A^3/atom
ΔE_f (raw) = 1.58 eV per atom
DOS(E_F) = 0.870 states/eV/atom
magnetization = 0.442 μB per atom

Lattice parameters (Å, degrees): 4.6582 4.9834 4.6582 90.00 90.00 90.00
Last column: nearest neighbours and their distance in Å.
Fractional positions:
Cu  0.5000  0.0000  0.0000  2 Na 2.33
Cu  0.0000  0.0000  0.5000  2 Na 2.33
Cl  0.5000  0.5000  0.5000  4 Ru 3.29, 8 Cu 3.41
Ru  0.0000  0.5000  0.0000  2 Na 2.49
Na  0.0000  0.0000  0.0000  4 Cu 2.33, 2 Ru 2.49

---

[9]
Below is Tl2InSCl3 after structural relaxation, with properties calculated at the PBE-GGA level.

V = 30.52 A^3/atom
ΔE_f (raw) = -0.83 eV per atom
DOS(E_F) = 0.027 states/eV/atom
magnetization = 0.000 μB per atom

Lattice parameters (Å, degrees): 5.0999 5.2684 8.7548 107.51 106.93 90.00
Last column: nearest neighbours and their distance in Å.
Fractional positions:
Tl  0.3680  0.3680  0.7361  3 Cl 3.29-3.30, 2 S 3.37
Tl  0.6320  0.6320  0.2639  3 Cl 3.29-3.30, 2 S 3.37
Cl  0.8391  0.8391  0.6781  1 In 2.56
Cl  0.1609  0.1609  0.3219  1 In 2.56
Cl  0.0000  0.5000  0.0000  2 In 2.63
In  0.0000  0.0000  0.0000  2 S 2.55, 4 Cl 2.56-2.63
S  0.5000  0.0000  0.0000  2 In 2.55

---

[10]
Below is MnW2Se4S2 after structural relaxation, with properties calculated at the PBE-GGA level.

V = 21.96 A^3/atom
ΔE_f (raw) = -0.50 eV per atom
DOS(E_F) = 0.341 states/eV/atom
magnetization = 0.147 μB per atom

Lattice parameters (Å, degrees): 3.2704 3.2704 21.3378 90.00 90.00 120.00
Last column: nearest neighbours and their distance in Å.
Fractional positions:
Se  0.0000  0.0000  0.7241  3 W 2.54
Se  0.6667  0.3333  0.0659  3 W 2.54
Se  0.0000  0.0000  0.5645  3 W 2.54
Se  0.6667  0.3333  0.9063  3 W 2.54
S  0.6667  0.3333  0.3923  3 Mn 2.33
S  0.6667  0.3333  0.2650  3 Mn 2.33
W  0.6667  0.3333  0.6443  6 Se 2.54
W  0.0000  0.0000  0.9861  6 Se 2.54
Mn  0.0000  0.0000  0.3287  6 S 2.33